# 1
The following is a GGA-PBE calculation of a relaxed structure of Li2BeMoPb, from the Alexandria database.

Calculated values
M_tot	0.56	μB per atom
electronic total energy	-16.67	eV per cell
density of states at the Fermi level	3.165	states/eV per cell

a b c (Å): 4.9598 4.9598 4.4065
angles (deg): 90.00 90.00 90.00
Space group P4/mmm (No. 123)
One atom of each set of equivalent atoms:
Li 0.0000 0.5000 0.0000 [2 per cell]
Be 0.0000 0.0000 0.5000 [1 per cell]
Mo 0.0000 0.0000 0.0000 [1 per cell]
Pb 0.5000 0.5000 0.5000 [1 per cell]

# 2
The following is a GGA-PBE calculation of a relaxed structure of LiBeMoRu, from the Alexandria database.

Calculated values
M_tot	0.00	μB per atom
electronic total energy	-102.65	eV per cell
density of states at the Fermi level	10.314	states/eV per cell

a b c (Å): 5.8742 5.8742 5.8742
angles (deg): 90.00 90.00 90.00
Space group F-43m (No. 216)
One atom of each set of equivalent atoms:
Li 0.0000 0.0000 0.0000 [4 per cell]
Be 0.2500 0.2500 0.7500 [4 per cell]
Mo 0.2500 0.2500 0.2500 [4 per cell]
Ru 0.0000 0.0000 0.5000 [4 per cell]

# 3
The following is a GGA-PBE calculation of a relaxed structure of Li2BeMoS, from the Alexandria database.

Calculated values
M_tot	0.00	μB per atom
electronic total energy	-19.68	eV per cell
density of states at the Fermi level	3.805	states/eV per cell
energy relative to the elements, uncorrected	0.566	eV per atom

a b c (Å): 4.0678 4.0678 4.3220
angles (deg): 90.00 90.00 90.00
Space group P4/mmm (No. 123)
One atom of each set of equivalent atoms:
Li 0.0000 0.5000 0.0000 [2 per cell]
Be 0.0000 0.0000 0.0000 [1 per cell]
Mo 0.0000 0.0000 0.5000 [1 per cell]
S 0.5000 0.5000 0.5000 [1 per cell]

# 4
The following is a GGA-PBE calculation of a relaxed structure of Li2BeTeMo, from the Alexandria database.

Calculated values
M_tot	0.00	μB per atom
electronic total energy	-19.55	eV per cell
density of states at the Fermi level	4.776	states/eV per cell
energy relative to the elements, uncorrected	0.396	eV per atom

a b c (Å): 4.2799 4.2799 4.3860
angles (deg): 90.00 90.00 90.00
Space group P4/mmm (No. 123)
One atom of each set of equivalent atoms:
Li 0.0000 0.5000 0.0000 [2 per cell]
Be 0.0000 0.0000 0.0000 [1 per cell]
Te 0.5000 0.5000 0.5000 [1 per cell]
Mo 0.0000 0.0000 0.5000 [1 per cell]

# 5
The following is a GGA-PBE calculation of a relaxed structure of LiBeMoW2, from the Alexandria database.

Calculated values
M_tot	0.00	μB per atom
electronic total energy	-31.90	eV per cell
density of states at the Fermi level	4.886	states/eV per cell

a b c (Å): 4.6735 4.6735 4.5329
angles (deg): 90.00 90.00 90.00
Space group P4/mmm (No. 123)
One atom of each set of equivalent atoms:
Li 0.0000 0.0000 0.0000 [1 per cell]
Be 0.5000 0.5000 0.0000 [1 per cell]
Mo 0.0000 0.0000 0.5000 [1 per cell]
W 0.0000 0.5000 0.5000 [2 per cell]

# 6
The following is a GGA-PBE calculation of a relaxed structure of LiBeN2, from the Alexandria database.

Calculated values
M_tot	0.00	μB per atom
electronic total energy	-88.67	eV per cell
density of states at the Fermi level	2.259	states/eV per cell
energy relative to the elements, uncorrected	0.031	eV per atom

a b c (Å): 3.5140 3.5140 10.6894
angles (deg): 90.00 90.00 90.00
Space group I-42d (No. 122)
One atom of each set of equivalent atoms:
Li 0.0000 0.0000 0.0000 [4 per cell]
Be 0.0000 0.0000 0.5000 [4 per cell]
N 0.1164 0.2500 0.6250 [8 per cell]

# 7
The following is a GGA-PBE calculation of a relaxed structure of LiBe3N, from the Alexandria database.

Calculated values
M_tot	0.00	μB per atom
electronic total energy	-20.83	eV per cell
density of states at the Fermi level	1.752	states/eV per cell
offset from the most stable computed form	0	meV per atom
energy relative to the elements, uncorrected	0.117	eV per atom

a b c (Å): 3.5353 3.5353 3.5353
angles (deg): 90.00 90.00 90.00
Space group Pm-3m (No. 221)
One atom of each set of equivalent atoms:
Li 0.0000 0.0000 0.0000 [1 per cell]
Be 0.0000 0.5000 0.5000 [3 per cell]
N 0.5000 0.5000 0.5000 [1 per cell]

# 8
The following is a GGA-PBE calculation of a relaxed structure of Li2Be4N, from the Alexandria database.

Calculated values
M_tot	0.00	μB per atom
electronic total energy	-53.10	eV per cell
density of states at the Fermi level	2.922	states/eV per cell
energy relative to the elements, uncorrected	0.072	eV per atom

a b c (Å): 3.3399 3.3399 14.0586
angles (deg): 90.00 90.00 90.00
Space group I4/mmm (No. 139)
One atom of each set of equivalent atoms:
Li 0.0000 0.0000 0.1906 [4 per cell]
Be 0.0000 0.0000 0.3836 [4 per cell]
Be 0.0000 0.5000 0.0000 [4 per cell]
N 0.0000 0.0000 0.5000 [2 per cell]